Record 1
Here is crystalline SmSi6Ir3 at its relaxed geometry from Alexandria. Energies are from PBE.

Output
Volume   323.86 Å³ per cell
DOS at the Fermi energy   2.9 states/eV/f.u.
E_tot   -140.574 eV/cell
Formation energy without anion corrections   -645 meV per atom
Space group   No. 11

Lattice parameters (Å, degrees): 4.2199 8.5681 8.9585 89.10 90.00 90.00
Closest atoms and distances in Å follow each position.
Atoms (fractional coordinates):
Sm1 0.7500 0.0531 0.6978  9 Si 2.97-3.27, 1 Ir 3.27
Sm2 0.2500 0.9469 0.3022  9 Si 2.97-3.27, 1 Ir 3.27
Si1 0.7500 0.4281 0.5653  4 Ir 2.43-2.55, 3 Si 2.67-2.70
Si2 0.2500 0.5719 0.4347  4 Ir 2.43-2.55, 3 Si 2.67-2.70
Si3 0.7500 0.9051 0.0272  3 Ir 2.50-2.54, 3 Si 2.55-2.70
Si4 0.2500 0.0949 0.9728  3 Ir 2.50-2.54, 3 Si 2.55-2.70
Si5 0.7500 0.4666 0.0959  4 Ir 2.40-2.46, 3 Si 2.50-2.68
Si6 0.2500 0.5334 0.9041  4 Ir 2.40-2.46, 3 Si 2.50-2.68
Si7 0.7500 0.7106 0.2455  3 Ir 2.44, 2 Si 2.50-2.55
Si8 0.2500 0.2894 0.7545  3 Ir 2.44, 2 Si 2.50-2.55
Si9 0.7500 0.1876 0.3794  3 Ir 2.46, 1 Si 2.67
Si10 0.2500 0.8124 0.6206  3 Ir 2.46, 1 Si 2.67
Si11 0.7500 0.6884 0.7905  4 Ir 2.45-2.56, 2 Si 2.68
Si12 0.2500 0.3116 0.2095  4 Ir 2.45-2.56, 2 Si 2.68
Ir1 0.7500 0.4042 0.8357  7 Si 2.40-2.46
Ir2 0.2500 0.5958 0.1643  7 Si 2.40-2.46
Ir3 0.7500 0.7124 0.5174  7 Si 2.44-2.55
Ir4 0.2500 0.2876 0.4826  7 Si 2.44-2.55
Ir5 0.7500 0.1841 0.1044  7 Si 2.42-2.56
Ir6 0.2500 0.8159 0.8956  7 Si 2.42-2.56

***

Record 2
Here is crystalline Th5Mg12Sb3 at its relaxed geometry from Alexandria. Energies are from PBE.

Output
Volume   2835.03 Å³ per cell
DOS at the Fermi energy   23.1 states/eV/f.u.
E_tot   -211.539 eV/cell
Formation energy without anion corrections   786 meV per atom
Space group   No. 230

Lattice parameters (Å, degrees): 15.4428 15.4428 15.4428 109.47 109.47 109.47
Closest atoms and distances in Å follow each position.
Atoms (fractional coordinates):
Sb1 0.7500 0.3750 0.1250  4 Mg 2.82
Sb2 0.8750 0.7500 0.1250  4 Mg 2.82
Sb3 0.3750 0.7500 0.6250  4 Mg 2.82
Sb4 0.2500 0.1250 0.3750  4 Mg 2.82
Sb5 0.8750 0.1250 0.2500  4 Mg 2.82
Sb6 0.3750 0.6250 0.2500  4 Mg 2.82
Sb7 0.6250 0.3750 0.7500  4 Mg 2.82
Sb8 0.1250 0.8750 0.7500  4 Mg 2.82
Sb9 0.7500 0.8750 0.6250  4 Mg 2.82
Sb10 0.6250 0.2500 0.3750  4 Mg 2.82
Sb11 0.1250 0.2500 0.8750  4 Mg 2.82
Sb12 0.2500 0.6250 0.8750  4 Mg 2.82
Th1 0.1250 0.3750 0.2500  4 Mg 3.23
Th2 0.0000 0.5000 0.0000  6 Mg 3.14
Th3 0.0000 0.0000 0.0000  6 Mg 3.14
Th4 0.3750 0.2500 0.1250  4 Mg 3.23
Th5 0.5000 0.0000 0.5000  6 Mg 3.14
Th6 0.5000 0.5000 0.0000  6 Mg 3.14
Th7 0.1250 0.7500 0.3750  4 Mg 3.23
Th8 0.7500 0.1250 0.8750  4 Mg 3.23
Th9 0.7500 0.6250 0.3750  4 Mg 3.23
Th10 0.3750 0.1250 0.7500  4 Mg 3.23
Th11 0.6250 0.8750 0.2500  4 Mg 3.23
Th12 0.5000 0.5000 0.5000  6 Mg 3.14
Th13 0.5000 0.0000 0.0000  6 Mg 3.14
Th14 0.0000 0.0000 0.5000  6 Mg 3.14
Th15 0.2500 0.3750 0.6250  4 Mg 3.23
Th16 0.2500 0.8750 0.1250  4 Mg 3.23
Th17 0.0000 0.5000 0.5000  6 Mg 3.14
Th18 0.8750 0.2500 0.6250  4 Mg 3.23
Th19 0.6250 0.7500 0.8750  4 Mg 3.23
Th20 0.8750 0.6250 0.7500  4 Mg 3.23
Mg1 0.7430 0.1411 0.0864  1 Sb 2.82, 1 Mg 2.96, 1 Th 3.14
Mg2 0.3434 0.5864 0.4452  1 Sb 2.82, 1 Mg 2.96, 1 Th 3.14
Mg3 0.9136 0.3589 0.2570  1 Sb 2.82, 1 Mg 2.96, 1 Th 3.14
Mg4 0.5864 0.2430 0.1411  1 Sb 2.82, 1 Mg 2.96, 1 Th 3.14
Mg5 0.6018 0.7430 0.6566  1 Sb 2.82, 1 Mg 2.96, 1 Th 3.14
Mg6 0.9136 0.5548 0.1566  1 Sb 2.82, 1 Mg 2.96, 1 Th 3.14
Mg7 0.3434 0.7570 0.3982  1 Sb 2.82, 1 Mg 2.96, 1 Th 3.14
Mg8 0.0548 0.8982 0.1411  1 Sb 2.82, 1 Mg 2.96, 1 Th 3.14
Mg9 0.5548 0.9136 0.6566  1 Sb 2.82, 1 Mg 2.96, 1 Th 3.14
Mg10 0.7430 0.6018 0.1566  1 Sb 2.82, 1 Mg 2.96, 1 Th 3.14
Mg11 0.7570 0.4136 0.3589  1 Sb 2.82, 1 Mg 2.96, 1 Th 3.14
Mg12 0.8434 0.9452 0.0864  1 Sb 2.82, 1 Mg 2.96, 1 Th 3.14
Mg13 0.1411 0.7430 0.5864  1 Sb 2.82, 1 Mg 2.96, 1 Th 3.14
Mg14 0.3589 0.4452 0.1018  1 Sb 2.82, 1 Mg 2.96, 1 Th 3.14
Mg15 0.1018 0.9452 0.3589  1 Sb 2.82, 1 Mg 2.96, 1 Th 3.14
Mg16 0.3982 0.1411 0.5548  1 Sb 2.82, 1 Mg 2.96, 1 Th 3.14
Mg17 0.1018 0.1566 0.2430  1 Sb 2.82, 1 Mg 2.96, 1 Th 3.14
Mg18 0.4136 0.6566 0.0548  1 Sb 2.82, 1 Mg 2.96, 1 Th 3.14
Mg19 0.8434 0.8982 0.2570  1 Sb 2.82, 1 Mg 2.96, 1 Th 3.14
Mg20 0.1411 0.3982 0.0548  1 Sb 2.82, 1 Mg 2.96, 1 Th 3.14
Mg21 0.3589 0.9136 0.7570  1 Sb 2.82, 1 Mg 2.96, 1 Th 3.14
Mg22 0.5548 0.6411 0.3982  1 Sb 2.82, 1 Mg 2.96, 1 Th 3.14
Mg23 0.9452 0.8434 0.5864  1 Sb 2.82, 1 Mg 2.96, 1 Th 3.14
Mg24 0.7570 0.3434 0.8982  1 Sb 2.82, 1 Mg 2.96, 1 Th 3.14
Mg25 0.4452 0.3589 0.6018  1 Sb 2.82, 1 Mg 2.96, 1 Th 3.14
Mg26 0.0548 0.1566 0.4136  1 Sb 2.82, 1 Mg 2.96, 1 Th 3.14
Mg27 0.2430 0.6566 0.1018  1 Sb 2.82, 1 Mg 2.96, 1 Th 3.14
Mg28 0.1566 0.1018 0.7430  1 Sb 2.82, 1 Mg 2.96, 1 Th 3.14
Mg29 0.6411 0.0864 0.2430  1 Sb 2.82, 1 Mg 2.96, 1 Th 3.14
Mg30 0.8589 0.6018 0.9452  1 Sb 2.82, 1 Mg 2.96, 1 Th 3.14
Mg31 0.5864 0.3434 0.9452  1 Sb 2.82, 1 Mg 2.96, 1 Th 3.14
Mg32 0.6018 0.8589 0.4452  1 Sb 2.82, 1 Mg 2.96, 1 Th 3.14
Mg33 0.8982 0.8434 0.7570  1 Sb 2.82, 1 Mg 2.96, 1 Th 3.14
Mg34 0.8982 0.0548 0.6411  1 Sb 2.82, 1 Mg 2.96, 1 Th 3.14
Mg35 0.8589 0.2570 0.4136  1 Sb 2.82, 1 Mg 2.96, 1 Th 3.14
Mg36 0.1566 0.0548 0.9136  1 Sb 2.82, 1 Mg 2.96, 1 Th 3.14
Mg37 0.6411 0.5548 0.8982  1 Sb 2.82, 1 Mg 2.96, 1 Th 3.14
Mg38 0.4452 0.0864 0.3434  1 Sb 2.82, 1 Mg 2.96, 1 Th 3.14
Mg39 0.2570 0.3982 0.8434  1 Sb 2.82, 1 Mg 2.96, 1 Th 3.14
Mg40 0.2430 0.5864 0.6411  1 Sb 2.82, 1 Mg 2.96, 1 Th 3.14
Mg41 0.9452 0.1018 0.8589  1 Sb 2.82, 1 Mg 2.96, 1 Th 3.14
Mg42 0.6566 0.2430 0.6018  1 Sb 2.82, 1 Mg 2.96, 1 Th 3.14
Mg43 0.4136 0.7570 0.8589  1 Sb 2.82, 1 Mg 2.96, 1 Th 3.14
Mg44 0.0864 0.4452 0.8434  1 Sb 2.82, 1 Mg 2.96, 1 Th 3.14
Mg45 0.3982 0.2570 0.3434  1 Sb 2.82, 1 Mg 2.96, 1 Th 3.14
Mg46 0.0864 0.6411 0.7430  1 Sb 2.82, 1 Mg 2.96, 1 Th 3.14
Mg47 0.6566 0.4136 0.5548  1 Sb 2.82, 1 Mg 2.96, 1 Th 3.14
Mg48 0.2570 0.8589 0.9136  1 Sb 2.82, 1 Mg 2.96, 1 Th 3.14

***

Record 3
Here is crystalline Sc5Cd2AgRh2 at its relaxed geometry from Alexandria. Energies are from PBE.

Output
Volume   420.31 Å³ per cell
Formation energy   -484 meV/atom
DOS at the Fermi energy   7.5 states/eV/f.u.
E_tot   -111.758 eV/cell
Space group   No. 127

Lattice parameters (Å, degrees): 3.4628 11.0171 11.0171 90.00 90.00 90.00
Closest atoms and distances in Å follow each position.
Atoms (fractional coordinates):
Sc1 0.5000 0.2018 0.0771  2 Rh 2.60
Sc2 0.5000 0.7982 0.9229  2 Rh 2.60
Sc3 0.5000 0.0771 0.7982  2 Rh 2.60
Sc4 0.5000 0.7018 0.4229  2 Rh 2.60
Sc5 0.5000 0.9229 0.2018  2 Rh 2.60
Sc6 0.5000 0.2982 0.5771  2 Rh 2.60
Sc7 0.5000 0.5771 0.7018  2 Rh 2.60
Sc8 0.5000 0.4229 0.2982  2 Rh 2.60
Sc9 0.5000 0.5000 0.0000  4 Rh 2.66
Sc10 0.5000 0.0000 0.5000  4 Rh 2.66
Cd1 0.0000 0.6717 0.1717  3 Rh 3.09-3.36, 6 Sc 3.19-3.28
Cd2 0.0000 0.3283 0.8283  3 Rh 3.09-3.36, 6 Sc 3.19-3.28
Cd3 0.0000 0.1717 0.3283  3 Rh 3.09-3.36, 6 Sc 3.19-3.28
Cd4 0.0000 0.8283 0.6717  3 Rh 3.09-3.36, 6 Sc 3.19-3.28
Ag1 0.0000 0.0000 0.0000  8 Sc 2.94
Ag2 0.0000 0.5000 0.5000  8 Sc 2.94
Rh1 0.0000 0.1300 0.6300  6 Sc 2.60-2.66
Rh2 0.0000 0.8700 0.3700  6 Sc 2.60-2.66
Rh3 0.0000 0.6300 0.8700  6 Sc 2.60-2.66
Rh4 0.0000 0.3700 0.1300  6 Sc 2.60-2.66